1.
Computed, not measured: a geometry-optimized Tb2TcS structure at the PBE level of DFT. Values from VASP.

```
&SYSTEM
  ibrav = 0, nat = 4, ntyp = 3
/
ATOMIC_SPECIES
Tb 158.93 Tb.upf
Tc 98.00 Tc.upf
S 32.06 S.upf
CELL_PARAMETERS angstrom
-1.704 3.053 -0.171
-3.436 0.126 0.657
-0.020 2.486 8.745
ATOMIC_POSITIONS angstrom
Tb -4.639 3.601 3.026
Tb -0.521 2.064 6.205
Tc 0.000 0.000 0.000
S -2.580 2.833 4.616
```

Computed properties:
E_form (uncorrected): -0.167 eV/atom
SG: No. 166
V: 23.5 A^3/atom
Fermi-level density of states: 0.8039 states/eV per atom

2.
Computed, not measured: a geometry-optimized TbTeS2 structure at the PBE level of DFT. Values from VASP.

```
&SYSTEM
  ibrav = 0, nat = 4, ntyp = 3
/
ATOMIC_SPECIES
S 32.06 S.upf
Tb 158.93 Tb.upf
Te 127.60 Te.upf
CELL_PARAMETERS angstrom
4.012 0.000 0.000
2.006 3.475 0.000
2.006 1.158 8.254
ATOMIC_POSITIONS angstrom
S 2.006 1.158 5.598
S 6.019 3.475 2.656
Tb 4.012 2.317 4.127
Te 0.000 0.000 0.000
```

Computed properties:
E_form (uncorrected): -1.124 eV/atom
SG: No. 166
V: 28.8 A^3/atom
Fermi-level density of states: 0.4978 states/eV per atom

3.
Computed, not measured: a geometry-optimized Tb3TeS3 structure at the PBE level of DFT. Values from VASP.

```
&SYSTEM
  ibrav = 0, nat = 14, ntyp = 3
/
ATOMIC_SPECIES
S 32.06 S.upf
Tb 158.93 Tb.upf
Te 127.60 Te.upf
CELL_PARAMETERS angstrom
7.937 0.000 0.000
3.968 6.873 0.000
3.968 2.291 7.138
ATOMIC_POSITIONS angstrom
S 6.127 6.867 2.356
S 9.010 7.292 4.782
S 5.053 4.157 4.782
S 10.820 5.007 2.356
S 6.863 1.872 2.356
S 9.746 2.297 4.782
Tb 8.862 6.806 2.110
Tb 10.325 4.892 5.029
Tb 9.399 2.669 2.110
Tb 7.011 2.359 5.029
Tb 6.474 6.496 5.029
Tb 5.548 4.272 2.110
Te 11.905 6.873 7.059
Te 3.968 2.291 0.080
```

Computed properties:
E_form (uncorrected): -1.808 eV/atom
SG: No. 148
V: 27.8 A^3/atom
Fermi-level density of states: 0.2963 states/eV per atom

4.
Computed, not measured: a geometry-optimized Tb2TeS2 structure at the PBE level of DFT. Values from VASP.

```
&SYSTEM
  ibrav = 0, nat = 10, ntyp = 3
/
ATOMIC_SPECIES
S 32.06 S.upf
Tb 158.93 Tb.upf
Te 127.60 Te.upf
CELL_PARAMETERS angstrom
-1.035 -2.864 -6.418
0.774 -6.041 3.656
-5.444 3.482 2.076
ATOMIC_POSITIONS angstrom
S -0.110 -6.159 -0.628
S -3.243 -3.697 -1.878
S -2.463 -1.726 1.192
S -5.596 0.736 -0.057
Tb -1.331 -3.863 0.030
Tb -4.374 -1.560 -0.715
Tb -3.626 -2.873 3.449
Tb -2.079 -2.550 -4.134
Te -4.889 -0.656 -3.581
Te -0.817 -4.767 2.896
```

Computed properties:
E above lowest polymorph: 122 meV per atom
E_form (uncorrected): -1.746 eV/atom
SG: No. 15
V: 28.2 A^3/atom
Fermi-level density of states: 0.0000 states/eV per atom

5.
Computed, not measured: a geometry-optimized Tb3Te2S structure at the PBE level of DFT. Values from VASP.

```
&SYSTEM
  ibrav = 0, nat = 12, ntyp = 3
/
ATOMIC_SPECIES
Tb 158.93 Tb.upf
Te 127.60 Te.upf
S 32.06 S.upf
CELL_PARAMETERS angstrom
6.455 -0.326 3.347
2.428 6.891 1.259
0.328 -0.163 7.266
ATOMIC_POSITIONS angstrom
Tb 4.915 5.157 7.084
Tb 4.297 1.245 4.787
Tb 6.490 5.234 3.365
Tb 6.717 1.082 8.019
Tb 2.495 5.320 3.853
Tb 2.393 1.331 1.241
Te 2.451 3.282 6.142
Te 0.000 0.000 0.000
Te 4.442 3.282 2.303
Te 6.760 3.119 5.730
S 4.535 -0.326 7.051
S 2.249 -0.163 3.561
```

Computed properties:
E above lowest polymorph: 0 meV per atom
E_form (uncorrected): -1.545 eV/atom
SG: No. 12
V: 26.8 A^3/atom
Fermi-level density of states: 0.4108 states/eV per atom

6.
Computed, not measured: a geometry-optimized TbTeS4 structure at the PBE level of DFT. Values from VASP.

```
&SYSTEM
  ibrav = 0, nat = 12, ntyp = 3
/
ATOMIC_SPECIES
S 32.06 S.upf
Tb 158.93 Tb.upf
Te 127.60 Te.upf
CELL_PARAMETERS angstrom
6.899 0.000 -0.338
0.000 6.797 0.000
-0.441 0.000 6.201
ATOMIC_POSITIONS angstrom
S 4.818 4.898 4.154
S 1.640 1.900 1.710
S 5.868 4.485 0.590
S 0.590 2.312 5.274
S 1.368 5.298 4.323
S 2.418 5.711 0.759
S 4.039 1.087 5.105
S 5.089 1.499 1.541
Tb 3.449 3.399 -0.169
Tb 0.000 0.000 0.000
Te 3.229 0.000 2.932
Te -0.221 3.399 3.101
```

Computed properties:
E_form (uncorrected): -0.605 eV/atom
SG: No. 14
V: 24.1 A^3/atom
Fermi-level density of states: 0.3045 states/eV per atom